1.
# TmPPtO PBE relaxed
# Excess energy over the best structure of this formula in the dataset ... 0 meV per atom
data_TmPPtO
_space_group_name_H-M_alt 'P 4/n m m'
_space_group_IT_number 129
_cell_length_a 4.058
_cell_length_b 4.058
_cell_length_c 7.652
_cell_angle_alpha 90.00
_cell_angle_beta 90.00
_cell_angle_gamma 90.00
loop_
_space_group_symop_operation_xyz
'x,y,z'
'-x,-y,-z'
'-y+1/2,x,z'
'y+1/2,-x,-z'
'-x+1/2,-y+1/2,z'
'x+1/2,y+1/2,-z'
'y,-x+1/2,z'
'-y,x+1/2,-z'
'x+1/2,-y,-z'
'-x+1/2,y,z'
'-y,-x,-z'
'y,x,z'
'-x,y+1/2,-z'
'x,-y+1/2,z'
'y+1/2,x+1/2,-z'
'-y+1/2,-x+1/2,z'
loop_
_atom_site_label
_atom_site_fract_x
_atom_site_fract_y
_atom_site_fract_z
Tm1 0.250 0.250 0.128
P1 0.250 0.250 0.669
Pt1 0.250 0.750 0.500
O1 0.250 0.750 0.000

=====

2.
# Zn PBE relaxed
# Excess energy over the best structure of this formula in the dataset ... 6 meV per atom
# ΔE_f ... 0.0 eV per formula unit
data_Zn
_space_group_name_H-M_alt 'P 63/m m c'
_space_group_IT_number 194
_space_group_name_Hall '-P 6c 2c'
_cell_length_a 2.6840
_cell_length_b 2.6840
_cell_length_c 4.6702
_cell_angle_alpha 90.00
_cell_angle_beta 90.00
_cell_angle_gamma 120.00
loop_
_atom_site_label
_atom_site_fract_x
_atom_site_fract_y
_atom_site_fract_z
Zn1 0.3333 0.6667 0.2500

=====

3.
First-principles (PBE) data for a geometry-optimized Sc2CuN structure, as listed in OQMD via LeMat-Bulk.

```
data_Sc2CuN
_space_group_name_H-M_alt 'P 63/m m c'
_space_group_IT_number 194
_space_group_name_Hall '-P 6c 2c'
_cell_length_a 3.1821
_cell_length_b 3.1821
_cell_length_c 13.6074
_cell_angle_alpha 90.00
_cell_angle_beta 90.00
_cell_angle_gamma 120.00
loop_
_atom_site_label
_atom_site_fract_x
_atom_site_fract_y
_atom_site_fract_z
Sc1 0.3333 0.6667 0.0926
Cu1 0.3333 0.6667 0.7500
N1 0.0000 0.0000 0.0000
```

=====

4.
# GdHICl PBE relaxed
# Excess energy over the best structure of this formula in the dataset ... 0 meV per atom
data_GdHICl
_space_group_name_H-M_alt 'P 63 m c'
_space_group_IT_number 186
_space_group_name_Hall 'P 6c -2c'
_cell_length_a 3.9116
_cell_length_b 3.9116
_cell_length_c 14.8733
_cell_angle_alpha 90.00
_cell_angle_beta 90.00
_cell_angle_gamma 120.00
loop_
_atom_site_label
_atom_site_fract_x
_atom_site_fract_y
_atom_site_fract_z
Gd1 0.0000 0.0000 0.0000
H1 0.3333 0.6667 0.0045
I1 0.3333 0.6667 0.6463
Cl1 0.3333 0.6667 0.3857

=====

5.
# SmAsPb PBE relaxed
# Excess energy over the best structure of this formula in the dataset ... 0 meV per atom
data_SmAsPb
_space_group_name_H-M_alt 'F -4 3 m'
_space_group_IT_number 216
_space_group_name_Hall 'F -4 2 3'
_cell_length_a 7.173
_cell_length_b 7.173
_cell_length_c 7.173
_cell_angle_alpha 90.00
_cell_angle_beta 90.00
_cell_angle_gamma 90.00
loop_
_atom_site_label
_atom_site_fract_x
_atom_site_fract_y
_atom_site_fract_z
Sm1 0.000 0.000 0.000
As1 0.250 0.250 0.750
Pb1 0.250 0.250 0.250

=====

6.
First-principles (PBE) data for a geometry-optimized ErAl4Mo2 structure, as listed in OQMD via LeMat-Bulk.

```
data_ErAl4Mo2
_space_group_name_H-M_alt 'I 4/m m m'
_space_group_IT_number 139
_space_group_name_Hall '-I 4 2'
_cell_length_a 6.716
_cell_length_b 6.716
_cell_length_c 5.353
_cell_angle_alpha 90.00
_cell_angle_beta 90.00
_cell_angle_gamma 90.00
loop_
_atom_site_label
_atom_site_fract_x
_atom_site_fract_y
_atom_site_fract_z
Er1 0.000 0.000 0.000
Al1 0.195 0.195 0.500
Mo1 0.000 0.500 0.250
```

=====

Number 1: E_tot -7.08 eV/atom. Number 2: E_tot -1.26 eV/atom. Number 3: E_tot -7.09 eV/atom. Number 4: E_tot -4.34 eV/atom. Number 5: E_tot -4.55 eV/atom. Number 6: E_tot -6.27 eV/atom.